The following is a GGA-PBE calculation of a relaxed structure of CaPmCuHg, from Alexandria.

Cell: 3.646 3.646 7.582 Å, 90.00 90.00 90.00°
Element x y z (fractional)
1 Ca 0.000 0.000 0.000
2 Pm 0.000 0.000 0.539
3 Cu 0.500 0.500 0.749
4 Hg 0.500 0.500 0.269

The value obtained for the total energy is -12.4 eV for the cell shown. The value obtained for the polymorph energy (0 for the lowest one) is 0.000 eV/atom. The value obtained for the formation energy is -30.0 kJ per mole of atoms.

***

The following is a GGA-PBE calculation of a relaxed structure of LaCePaGa, from Alexandria.

Cell: 5.295 5.295 5.295 Å, 60.00 60.00 60.00°
Element x y z (fractional)
1 La 0.000 0.000 0.000
2 Ce 0.500 0.500 0.500
3 Pa 0.750 0.750 0.750
4 Ga 0.250 0.250 0.250

The value obtained for the total energy is -22.9 eV for the cell shown. The value obtained for the formation energy is 11.4 kJ per mole of atoms.

***

The following is a GGA-PBE calculation of a relaxed structure of Nd2SmY2, from Alexandria.

Cell: 8.656 12.539 6.661 Å, 90.00 107.97 90.00°
Element x y z (fractional)
1 Nd 0.091 0.047 0.261
2 Nd 0.091 0.453 0.761
3 Nd 0.355 0.548 0.249
4 Nd 0.355 0.952 0.749
5 Nd 0.645 0.048 0.251
6 Nd 0.645 0.452 0.751
7 Nd 0.909 0.547 0.239
8 Nd 0.909 0.953 0.739
9 Sm 0.374 0.653 0.746
10 Sm 0.374 0.847 0.246
11 Sm 0.626 0.153 0.754
12 Sm 0.626 0.347 0.254
13 Y 0.050 0.707 0.923
14 Y 0.050 0.793 0.423
15 Y 0.297 0.197 0.981
16 Y 0.297 0.303 0.481
17 Y 0.703 0.697 0.519
18 Y 0.703 0.803 0.019
19 Y 0.950 0.207 0.577
20 Y 0.950 0.293 0.077

The value obtained for the total energy is -106.1 eV for the cell shown. The value obtained for the polymorph energy (0 for the lowest one) is 0.023 eV/atom. The value obtained for the formation energy is 12.7 kJ per mole of atoms.

***

The following is a GGA-PBE calculation of a relaxed structure of Cu2ClF, from Alexandria.

Cell: 5.735 5.735 5.735 Å, 41.19 41.19 41.19°
Element x y z (fractional)
1 Cu 0.123 0.123 0.123
2 Cu 0.877 0.877 0.877
3 Cl 0.500 0.500 0.500
4 F 0.000 0.000 0.000

The value obtained for the total energy is -14.1 eV for the cell shown. The value obtained for the polymorph energy (0 for the lowest one) is 0.080 eV/atom. The formation energy without anion corrections is -0.54 eV per atom.